The following is a meta-GGA SCAN calculation of a crystal of RbCa2F relaxed with PBEsol, from Alexandria.

Uncorrected formation energy = -0.171 eV/atom
VASP energy = -11.07 eV per atom
Space-group type = Fm-3m (225)

a b c (Å): 6.0752 6.0752 6.0752
angles (deg): 60.00 60.00 60.00
Atoms (fractional coordinates):
Ca  0.7500  0.7500  0.7500
Ca  0.2500  0.2500  0.2500
F  0.0000  0.0000  0.0000
Rb  0.5000  0.5000  0.5000

=====

The following is a meta-GGA SCAN calculation of a crystal of RbCaF2 relaxed with PBEsol, from Alexandria.

Uncorrected formation energy = -2.843 eV/atom
VASP energy = -12.21 eV per atom
Space-group type = R-3m (166)

a b c (Å): 3.8433 3.8433 7.7411
angles (deg): 75.63 75.63 60.00
Atoms (fractional coordinates):
Ca  0.5000  0.5000  0.5000
Rb  0.0000  0.0000  0.0000
F  0.8712  0.8712  0.3864
F  0.1288  0.1288  0.6136

=====

The following is a meta-GGA SCAN calculation of a crystal of RbCaF3 relaxed with PBEsol, from Alexandria.

Uncorrected formation energy = -3.680 eV/atom
VASP energy = -11.88 eV per atom
Space-group type = Pm-3m (221)

a b c (Å): 4.4376 4.4376 4.4376
angles (deg): 90.00 90.00 90.00
Atoms (fractional coordinates):
F  0.5000  0.5000  0.0000
F  0.5000  0.0000  0.5000
F  0.0000  0.5000  0.5000
Ca  0.5000  0.5000  0.5000
Rb  0.0000  0.0000  0.0000

=====

The following is a meta-GGA SCAN calculation of a crystal of CaRu3F relaxed with PBEsol, from Alexandria.

Uncorrected formation energy = 0.797 eV/atom
VASP energy = -22.74 eV per atom
Space-group type = Pm-3m (221)

a b c (Å): 4.2443 4.2443 4.2443
angles (deg): 90.00 90.00 90.00
Atoms (fractional coordinates):
Ru  0.0000  0.0000  0.5000
Ru  0.0000  0.5000  0.0000
Ru  0.5000  0.0000  0.0000
F  0.0000  0.0000  0.0000
Ca  0.5000  0.5000  0.5000

=====

The following is a meta-GGA SCAN calculation of a crystal of Ca2YSF relaxed with PBEsol, from Alexandria.

Uncorrected formation energy = -1.553 eV/atom
VASP energy = -13.62 eV per atom
Space-group type = P4/mmm (123)

a b c (Å): 4.3467 4.3467 6.2995
angles (deg): 90.00 90.00 90.00
Atoms (fractional coordinates):
Ca  0.5000  0.0000  0.0000
Ca  0.0000  0.5000  0.0000
F  0.0000  0.0000  0.0000
S  0.0000  0.0000  0.5000
Y  0.5000  0.5000  0.5000

=====

The following is a meta-GGA SCAN calculation of a crystal of CaScSb2F relaxed with PBEsol, from Alexandria.

Uncorrected formation energy = -1.145 eV/atom
VASP energy = -21.54 eV per atom
Space-group type = P4/mmm (123)

a b c (Å): 3.9764 5.4554 5.4554
angles (deg): 90.00 90.00 90.00
Atoms (fractional coordinates):
F  0.0000  0.0000  0.0000
Sc  0.5000  0.0000  0.0000
Sb  0.0000  0.5000  0.0000
Sb  0.0000  0.0000  0.5000
Ca  0.5000  0.5000  0.5000

=====

The following is a meta-GGA SCAN calculation of a crystal of CaSbTe2F relaxed with PBEsol, from Alexandria.

Uncorrected formation energy = -0.754 eV/atom
VASP energy = -25.75 eV per atom
Space-group type = P4/mmm (123)

a b c (Å): 4.3242 5.4488 5.4488
angles (deg): 90.00 90.00 90.00
Atoms (fractional coordinates):
Te  0.0000  0.0000  0.5000
Te  0.0000  0.5000  0.0000
F  0.0000  0.0000  0.0000
Ca  0.5000  0.5000  0.5000
Sb  0.5000  0.0000  0.0000

=====

The following is a meta-GGA SCAN calculation of a crystal of CaScF6 relaxed with PBEsol, from Alexandria.

Uncorrected formation energy = -3.490 eV/atom
VASP energy = -9.13 eV per atom
Space-group type = Fm-3m (225)

a b c (Å): 6.0044 6.0044 6.0044
angles (deg): 60.00 60.00 60.00
Each line ends with the local moment (μB).
Atoms (fractional coordinates):
F  0.7637  0.7637  0.2363  0.16
F  0.2363  0.2363  0.7637  0.16
F  0.2363  0.7637  0.2363  0.16
F  0.2363  0.7637  0.7637  0.16
F  0.7637  0.2363  0.2363  0.16
F  0.7637  0.2363  0.7637  0.16
Ca  0.5000  0.5000  0.5000  -0.01
Sc  0.0000  0.0000  0.0000  -0.03

=====

The following is a meta-GGA SCAN calculation of a crystal of CaSeF2 relaxed with PBEsol, from Alexandria.

Uncorrected formation energy = -1.972 eV/atom
VASP energy = -11.18 eV per atom
Space-group type = Fm-3m (225)

a b c (Å): 4.4435 4.4435 4.4435
angles (deg): 60.00 60.00 60.00
Each line ends with the local moment (μB).
Atoms (fractional coordinates):
Ca  0.0000  0.0000  0.0000  0.02
F  0.2500  0.2500  0.2500  0.22
F  0.7500  0.7500  0.7500  0.22
Se  0.5000  0.5000  0.5000  1.01

=====

The following is a meta-GGA SCAN calculation of a crystal of Ca2SeF2 relaxed with PBEsol, from Alexandria.

Uncorrected formation energy = -3.369 eV/atom
VASP energy = -12.67 eV per atom
Space-group type = I4/mmm (139)

a b c (Å): 3.7613 3.7613 6.6203
angles (deg): 106.50 106.50 90.00
Atoms (fractional coordinates):
Ca  0.6408  0.6408  0.2815
Ca  0.3592  0.3592  0.7185
F  0.7500  0.2500  0.5000
F  0.2500  0.7500  0.5000
Se  0.0000  0.0000  0.0000

=====

The following is a meta-GGA SCAN calculation of a crystal of Ca10Si6F relaxed with PBEsol, from Alexandria.

Uncorrected formation energy = -0.846 eV/atom
VASP energy = -10.27 eV per atom
Space-group type = I-42m (121)

a b c (Å): 7.5777 7.5777 8.9953
angles (deg): 114.91 114.91 90.00
Atoms (fractional coordinates):
Ca  0.7122  0.7122  0.7827
Ca  0.9295  0.2878  0.2173
Ca  0.7500  0.2500  0.5000
Ca  0.2500  0.7500  0.5000
Ca  0.5666  0.2303  0.7969
Ca  0.2878  0.9295  0.2173
Ca  0.0705  0.0705  0.7827
Ca  0.2303  0.5666  0.7969
Ca  0.4334  0.4334  0.2031
Ca  0.7697  0.7697  0.2031
Si  0.8655  0.6403  0.5059
Si  0.6403  0.8655  0.5059
Si  0.1345  0.1345  0.4941
Si  0.5000  0.0000  0.0000
Si  0.0000  0.5000  0.0000
Si  0.3597  0.3597  0.4941
F  0.5000  0.5000  0.0000

=====

The following is a meta-GGA SCAN calculation of a crystal of CaSiF3 relaxed with PBEsol, from Alexandria.

Uncorrected formation energy = -2.217 eV/atom
VASP energy = -8.28 eV per atom
Space-group type = Pm-3m (221)

a b c (Å): 4.3445 4.3445 4.3445
angles (deg): 90.00 90.00 90.00
Each line ends with the local moment (μB).
Atoms (fractional coordinates):
F  0.0000  0.5000  0.5000  0.01
F  0.5000  0.5000  0.0000  0.01
F  0.5000  0.0000  0.5000  0.01
Ca  0.5000  0.5000  0.5000  0.00
Si  0.0000  0.0000  0.0000  0.32

=====

The following is a meta-GGA SCAN calculation of a crystal of CaSnF2 relaxed with PBEsol, from Alexandria.

Uncorrected formation energy = -1.801 eV/atom
Excess energy over the best structure of this formula in the dataset = 965 meV/atom
VASP energy = -14.97 eV per atom
Space-group type = R-3m (166)

a b c (Å): 3.4774 3.4774 8.3932
angles (deg): 78.04 78.04 60.00
Atoms (fractional coordinates):
Sn  0.5000  0.5000  0.5000
F  0.0860  0.0860  0.7419
F  0.9140  0.9140  0.2581
Ca  0.0000  0.0000  0.0000

=====

The following is a meta-GGA SCAN calculation of a crystal of CaSnF2 relaxed with PBEsol, from Alexandria.

Uncorrected formation energy = -2.766 eV/atom
Excess energy over the best structure of this formula in the dataset = 0 meV/atom
VASP energy = -15.93 eV per atom
Space-group type = R-3m (166)

a b c (Å): 3.4428 3.4428 8.6415
angles (deg): 78.51 78.51 60.00
Atoms (fractional coordinates):
Sn  0.0000  0.0000  0.0000
F  0.8732  0.8732  0.3803
F  0.1268  0.1268  0.6197
Ca  0.5000  0.5000  0.5000

=====

The following is a meta-GGA SCAN calculation of a crystal of Sr3CaF relaxed with PBEsol, from Alexandria.

Uncorrected formation energy = 0.275 eV/atom
VASP energy = -15.73 eV per atom
Space-group type = Pm-3m (221)

a b c (Å): 7.0252 7.0252 7.0252
angles (deg): 90.00 90.00 90.00
Atoms (fractional coordinates):
Sr  0.5000  0.0000  0.0000
Sr  0.0000  0.5000  0.0000
Sr  0.0000  0.0000  0.5000
Ca  0.0000  0.0000  0.0000
F  0.5000  0.5000  0.5000

=====

The following is a meta-GGA SCAN calculation of a crystal of SrCaF2 relaxed with PBEsol, from Alexandria.

Uncorrected formation energy = -3.070 eV/atom
Excess energy over the best structure of this formula in the dataset = 0 meV/atom
VASP energy = -12.82 eV per atom
Space-group type = R-3m (166)

a b c (Å): 4.1030 4.1030 6.6211
angles (deg): 71.95 71.95 60.00
Atoms (fractional coordinates):
F  0.1216  0.1216  0.6351
F  0.8784  0.8784  0.3649
Ca  0.0000  0.0000  0.0000
Sr  0.5000  0.5000  0.5000

=====

The following is a meta-GGA SCAN calculation of a crystal of Sr2Ca2F relaxed with PBEsol, from Alexandria.

Uncorrected formation energy = -0.099 eV/atom
VASP energy = -13.58 eV per atom
Space-group type = I4/mmm (139)

a b c (Å): 4.4916 4.4916 10.5380
angles (deg): 102.30 102.30 90.00
Atoms (fractional coordinates):
Ca  0.5883  0.5883  0.1765
Ca  0.4117  0.4117  0.8235
Sr  0.7500  0.2500  0.5000
Sr  0.2500  0.7500  0.5000
F  0.0000  0.0000  0.0000

=====

The following is a meta-GGA SCAN calculation of a crystal of SrCaF2 relaxed with PBEsol, from Alexandria.

Uncorrected formation energy = -2.809 eV/atom
Excess energy over the best structure of this formula in the dataset = 261 meV/atom
VASP energy = -12.56 eV per atom
Space-group type = I-42d (122)

a b c (Å): 5.6770 5.6770 6.9527
angles (deg): 114.10 114.10 90.00
Each line ends with the local moment (μB).
Atoms (fractional coordinates):
Sr  0.0000  0.0000  0.0000  0.16
Sr  0.2500  0.7500  0.5000  0.16
F  0.6250  0.5974  0.7500  0.05
F  0.8474  0.3750  0.2500  0.05
F  0.4026  0.8750  0.2500  0.05
F  0.1250  0.1526  0.7500  0.05
Ca  0.5000  0.5000  0.0000  0.13
Ca  0.7500  0.2500  0.5000  0.13

=====

The following is a meta-GGA SCAN calculation of a crystal of CaTa2F2 relaxed with PBEsol, from Alexandria.

Uncorrected formation energy = -0.784 eV/atom
VASP energy = -30.77 eV per atom
Space-group type = I4/mmm (139)

a b c (Å): 3.5303 3.5303 7.9778
angles (deg): 102.78 102.78 90.00
Atoms (fractional coordinates):
F  0.5750  0.5750  0.1500
F  0.4250  0.4250  0.8500
Ca  0.0000  0.0000  0.0000
Ta  0.7500  0.2500  0.5000
Ta  0.2500  0.7500  0.5000

=====

The following is a meta-GGA SCAN calculation of a crystal of Ca3TaF relaxed with PBEsol, from Alexandria.

Uncorrected formation energy = 0.707 eV/atom
VASP energy = -19.12 eV per atom
Space-group type = Pm-3m (221)

a b c (Å): 5.5832 5.5832 5.5832
angles (deg): 90.00 90.00 90.00
Each line ends with the local moment (μB).
Atoms (fractional coordinates):
Ca  0.0000  0.0000  0.5000  0.10
Ca  0.5000  0.0000  0.0000  0.10
Ca  0.0000  0.5000  0.0000  0.10
F  0.5000  0.5000  0.5000  0.04
Ta  0.0000  0.0000  0.0000  0.86